#one
Entry from Alexandria: MoPIO2 after structural relaxation (PBE+U).

Properties
space-group type: P4/mmm

Lattice parameters (Å, degrees): 3.9238 3.9238 5.6073 90.00 90.00 90.00
Last column: nearest neighbours and their distance in Å.
Element x y z (fractional)
Mo1 0.0000 0.0000 0.0000  4 O 1.96
P1 0.0000 0.0000 0.5000  4 I 2.77, 2 Mo 2.80
I1 0.5000 0.5000 0.5000  4 P 2.77
O1 0.0000 0.5000 0.0000  2 Mo 1.96
O2 0.5000 0.0000 0.0000  2 Mo 1.96



#two
Entry from Alexandria: MoPIO2 after structural relaxation (PBE+U).

Properties
space-group type: P4/mmm

Lattice parameters (Å, degrees): 3.8856 3.8856 7.8980 90.00 90.00 90.00
Last column: nearest neighbours and their distance in Å.
Element x y z (fractional)
Mo1 0.0000 0.0000 0.0000  4 O 1.94
P1 0.5000 0.5000 0.5000  4 I 2.75
I1 0.0000 0.0000 0.5000  4 P 2.75
O1 0.0000 0.5000 0.0000  2 Mo 1.94
O2 0.5000 0.0000 0.0000  2 Mo 1.94



Stability ranking, top entry: #one; the second entry is 214 meV per atom less favorable.



#one
Entry from Alexandria: MoPIO2 after structural relaxation (PBE+U).

Properties
space-group type: P4/mmm

Lattice parameters (Å, degrees): 3.9003 3.9003 5.7006 90.00 90.00 90.00
Last column: nearest neighbours and their distance in Å.
Element x y z (fractional)
Mo1 0.0000 0.0000 0.0000  4 I 2.76
P1 0.5000 0.5000 0.5000  4 O 1.95
I1 0.5000 0.5000 0.0000  4 Mo 2.76, 2 P 2.85
O1 0.0000 0.5000 0.5000  2 P 1.95
O2 0.5000 0.0000 0.5000  2 P 1.95



#two
Entry from Alexandria: MoPIO2 after structural relaxation (PBE+U).

Properties
space-group type: P4/mmm

Lattice parameters (Å, degrees): 3.9928 3.9928 5.5890 90.00 90.00 90.00
Last column: nearest neighbours and their distance in Å.
Element x y z (fractional)
Mo1 0.0000 0.0000 0.0000  4 P 2.82
P1 0.5000 0.5000 0.0000  2 I 2.79, 4 Mo 2.82
I1 0.5000 0.5000 0.5000  4 O 2.00
O1 0.0000 0.5000 0.5000  2 I 2.00
O2 0.5000 0.0000 0.5000  2 I 2.00



Stability ranking, top entry: #one; the second entry is 180 meV per atom less favorable.



#one
Entry from Alexandria: MoP2IO after structural relaxation (PBE+U).

Properties
space-group type: P4/mmm

Lattice parameters (Å, degrees): 5.1454 5.1454 3.9086 90.00 90.00 90.00
Last column: nearest neighbours and their distance in Å.
Element x y z (fractional)
Mo1 0.0000 0.0000 0.0000  8 P 3.23
P1 0.0000 0.5000 0.5000  2 I 2.57
P2 0.5000 0.0000 0.5000  2 I 2.57
I1 0.5000 0.5000 0.5000  2 O 1.95
O1 0.5000 0.5000 0.0000  2 I 1.95



#two
Entry from Alexandria: MoP2IO after structural relaxation (PBE+U).

Properties
space-group type: P4/mmm

Lattice parameters (Å, degrees): 4.9395 4.9395 3.8730 90.00 90.00 90.00
Last column: nearest neighbours and their distance in Å.
Element x y z (fractional)
Mo1 0.0000 0.0000 0.0000  2 O 1.94
P1 0.0000 0.5000 0.0000  2 Mo 2.47
P2 0.5000 0.0000 0.0000  2 Mo 2.47
I1 0.5000 0.5000 0.5000  8 P 3.14, 4 O 3.49
O1 0.0000 0.0000 0.5000  2 Mo 1.94



Stability ranking, top entry: #two; the second entry is 873 meV per atom less favorable.



#one
Entry from Alexandria: MoPbIO2 after structural relaxation (PBE+U).

Properties
space-group type: P4/mmm

Lattice parameters (Å, degrees): 4.2723 4.2723 5.7802 90.00 90.00 90.00
Last column: nearest neighbours and their distance in Å.
Element x y z (fractional)
Mo1 0.0000 0.0000 0.0000  4 O 2.14
Pb1 0.5000 0.5000 0.5000  4 I 3.02
I1 0.0000 0.0000 0.5000  2 Mo 2.89, 4 Pb 3.02
O1 0.0000 0.5000 0.0000  2 Mo 2.14
O2 0.5000 0.0000 0.0000  2 Mo 2.14



#two
Entry from Alexandria: MoPbIO2 after structural relaxation (PBE+U).

Properties
space-group type: P4/mmm

Lattice parameters (Å, degrees): 4.3098 4.3098 5.9469 90.00 90.00 90.00
Last column: nearest neighbours and their distance in Å.
Element x y z (fractional)
Mo1 0.0000 0.0000 0.0000  4 I 3.05
Pb1 0.5000 0.5000 0.5000  4 O 2.15
I1 0.5000 0.5000 0.0000  2 Pb 2.97, 4 Mo 3.05
O1 0.0000 0.5000 0.5000  2 Pb 2.15
O2 0.5000 0.0000 0.5000  2 Pb 2.15



Stability ranking, top entry: #one; the second entry is 584 meV per atom less favorable.



#one
Entry from Alexandria: MoPtI2O after structural relaxation (PBE+U).

Properties
space-group type: P4/mmm

Lattice parameters (Å, degrees): 5.7600 5.7600 3.8122 90.00 90.00 90.00
Last column: nearest neighbours and their distance in Å.
Element x y z (fractional)
Mo1 0.0000 0.0000 0.0000  2 O 1.91
Pt1 0.5000 0.5000 0.5000  8 I 3.45, 2 Pt 3.81
I1 0.0000 0.5000 0.0000  2 Mo 2.88
I2 0.5000 0.0000 0.0000  2 Mo 2.88
O1 0.0000 0.0000 0.5000  2 Mo 1.91



#two
Entry from Alexandria: MoPtI2O after structural relaxation (PBE+U).

Properties
space-group type: P4/mmm

Lattice parameters (Å, degrees): 5.7708 5.7708 3.8354 90.00 90.00 90.00
Last column: nearest neighbours and their distance in Å.
Element x y z (fractional)
Mo1 0.0000 0.0000 0.0000  8 I 3.46, 2 Mo 3.84
Pt1 0.5000 0.5000 0.5000  2 O 1.92
I1 0.0000 0.5000 0.5000  2 Pt 2.89
I2 0.5000 0.0000 0.5000  2 Pt 2.89
O1 0.5000 0.5000 0.0000  2 Pt 1.92



Stability ranking, top entry: #one; the second entry is 90 meV per atom less favorable.



#one
Entry from Alexandria: RbMoIO6 after structural relaxation (PBE+U).

Properties
space-group type: Pna2_1

Lattice parameters (Å, degrees): 7.8274 10.4876 7.4923 90.00 90.00 90.00
Last column: nearest neighbours and their distance in Å.
Element x y z (fractional)
Rb1 0.0132 0.1205 0.0000  6 O 2.96-3.25
Rb2 0.4868 0.6205 0.5000  6 O 2.96-3.25
Rb3 0.5132 0.3795 0.0000  6 O 2.96-3.25
Rb4 0.9868 0.8795 0.5000  6 O 2.96-3.25
Mo1 0.0067 0.4719 0.2268  3 O 1.75-1.92
Mo2 0.4933 0.9719 0.7268  3 O 1.75-1.92
Mo3 0.5067 0.0281 0.2268  3 O 1.75-1.92
Mo4 0.9933 0.5281 0.7268  3 O 1.75-1.92
I1 0.2239 0.7400 0.0619  3 O 1.84-1.86
I2 0.2761 0.2400 0.5619  3 O 1.84-1.86
I3 0.7239 0.7600 0.0619  3 O 1.84-1.86
I4 0.7761 0.2600 0.5619  3 O 1.84-1.86
O1 0.0639 0.5168 0.9712  2 Mo 1.92-2.02
O2 0.0686 0.1570 0.5500  1 I 1.84
O3 0.1361 0.6491 0.6660  1 Mo 1.75
O4 0.1407 0.6583 0.2650  1 I 1.86
O5 0.1988 0.3892 0.2651  1 Mo 1.76
O6 0.2181 0.3878 0.6801  1 I 1.84
O7 0.2819 0.8878 0.1801  1 I 1.84
O8 0.3012 0.8892 0.7651  1 Mo 1.76
O9 0.3593 0.1583 0.7650  1 I 1.86
O10 0.3639 0.1491 0.1660  1 Mo 1.75
O11 0.4314 0.6570 0.0500  1 I 1.84
O12 0.4361 0.0168 0.4712  2 Mo 1.92-2.02
O13 0.5639 0.9832 0.9712  2 Mo 1.92-2.02
O14 0.5686 0.3430 0.5500  1 I 1.84
O15 0.6361 0.8509 0.6660  1 Mo 1.75
O16 0.6407 0.8417 0.2650  1 I 1.86
O17 0.6988 0.1108 0.2651  1 Mo 1.76
O18 0.7181 0.1122 0.6801  1 I 1.84
O19 0.7819 0.6122 0.1801  1 I 1.84
O20 0.8012 0.6108 0.7651  1 Mo 1.76
O21 0.8593 0.3417 0.7650  1 I 1.86
O22 0.8639 0.3509 0.1660  1 Mo 1.75
O23 0.9314 0.8430 0.0500  1 I 1.84
O24 0.9361 0.4832 0.4712  2 Mo 1.92-2.02



#two
Entry from Alexandria: RbMoIO6 after structural relaxation (PBE+U).

Properties
space-group type: C2

Lattice parameters (Å, degrees): 5.8258 5.8258 6.1579 91.07 91.07 124.89
Last column: nearest neighbours and their distance in Å.
Element x y z (fractional)
Rb1 0.0000 0.0000 0.0000  6 O 2.97-3.17
Mo1 0.6611 0.3389 0.5000  2 O 1.79
I1 0.3230 0.6770 0.5000  4 O 1.92-1.98
O1 0.0355 0.6374 0.6758  1 I 1.92, 1 Mo 2.11
O2 0.3626 0.9645 0.3242  1 I 1.92, 1 Mo 2.11
O3 0.5085 0.4211 0.7105  1 Mo 1.79
O4 0.5789 0.4915 0.2895  1 Mo 1.79
O5 0.6108 0.0170 0.6732  1 I 1.98, 1 Mo 2.05
O6 0.9830 0.3892 0.3268  1 I 1.98, 1 Mo 2.05



Stability ranking, top entry: #one; the second entry is 63 meV per atom less favorable.



#one
Entry from Alexandria: MoRhI2O after structural relaxation (PBE+U).

Properties
space-group type: P4/mmm

Lattice parameters (Å, degrees): 5.7233 5.7233 3.7598 90.00 90.00 90.00
Last column: nearest neighbours and their distance in Å.
Element x y z (fractional)
Mo1 0.0000 0.0000 0.0000  8 I 3.42, 2 Mo 3.76
Rh1 0.5000 0.5000 0.5000  2 O 1.88
I1 0.0000 0.5000 0.5000  2 Rh 2.86
I2 0.5000 0.0000 0.5000  2 Rh 2.86
O1 0.5000 0.5000 0.0000  2 Rh 1.88



#two
Entry from Alexandria: MoRhI2O after structural relaxation (PBE+U).

Properties
space-group type: P4/mmm

Lattice parameters (Å, degrees): 5.7621 5.7621 3.8219 90.00 90.00 90.00
Last column: nearest neighbours and their distance in Å.
Element x y z (fractional)
Mo1 0.0000 0.0000 0.0000  2 O 1.91
Rh1 0.5000 0.5000 0.5000  8 I 3.46, 2 Rh 3.82
I1 0.0000 0.5000 0.0000  2 Mo 2.88
I2 0.5000 0.0000 0.0000  2 Mo 2.88
O1 0.0000 0.0000 0.5000  2 Mo 1.91



Stability ranking, top entry: #one; the second entry is 68 meV per atom less favorable.



#one
Entry from Alexandria: MoRhIO2 after structural relaxation (PBE+U).

Properties
space-group type: P4/mmm

Lattice parameters (Å, degrees): 3.8450 3.8450 7.3717 90.00 90.00 90.00
Last column: nearest neighbours and their distance in Å.
Element x y z (fractional)
Mo1 0.0000 0.0000 0.0000  4 O 1.92
Rh1 0.5000 0.5000 0.5000  4 I 2.72
I1 0.0000 0.0000 0.5000  4 Rh 2.72
O1 0.0000 0.5000 0.0000  2 Mo 1.92
O2 0.5000 0.0000 0.0000  2 Mo 1.92



#two
Entry from Alexandria: MoRhIO2 after structural relaxation (PBE+U).

Properties
space-group type: P4/mmm

Lattice parameters (Å, degrees): 3.9790 3.9790 6.1807 90.00 90.00 90.00
Last column: nearest neighbours and their distance in Å.
Element x y z (fractional)
Mo1 0.0000 0.0000 0.0000  4 I 2.81
Rh1 0.5000 0.5000 0.5000  4 O 1.99
I1 0.5000 0.5000 0.0000  4 Mo 2.81, 2 Rh 3.09
O1 0.0000 0.5000 0.5000  2 Rh 1.99
O2 0.5000 0.0000 0.5000  2 Rh 1.99



Stability ranking, top entry: #one; the second entry is 641 meV per atom less favorable.



#one
Entry from Alexandria: MoRuI2O after structural relaxation (PBE+U).

Properties
space-group type: P4/mmm

Lattice parameters (Å, degrees): 5.6614 5.6614 3.7592 90.00 90.00 90.00
Last column: nearest neighbours and their distance in Å.
Element x y z (fractional)
Mo1 0.0000 0.0000 0.0000  8 I 3.40, 2 Mo 3.76
Ru1 0.5000 0.5000 0.5000  2 O 1.88
I1 0.0000 0.5000 0.5000  2 Ru 2.83
I2 0.5000 0.0000 0.5000  2 Ru 2.83
O1 0.5000 0.5000 0.0000  2 Ru 1.88



#two
Entry from Alexandria: MoRuI2O after structural relaxation (PBE+U).

Properties
space-group type: P4/mmm

Lattice parameters (Å, degrees): 5.7642 5.7642 3.8130 90.00 90.00 90.00
Last column: nearest neighbours and their distance in Å.
Element x y z (fractional)
Mo1 0.0000 0.0000 0.0000  2 O 1.91
Ru1 0.5000 0.5000 0.5000  8 I 3.46, 2 Ru 3.81
I1 0.0000 0.5000 0.0000  2 Mo 2.88
I2 0.5000 0.0000 0.0000  2 Mo 2.88
O1 0.0000 0.0000 0.5000  2 Mo 1.91



Stability ranking, top entry: #one; the second entry is 372 meV per atom less favorable.



#one
Entry from Alexandria: Sb2MoIO after structural relaxation (PBE+U).

Properties
space-group type: P4/mmm

Lattice parameters (Å, degrees): 4.5053 4.5053 6.5106 90.00 90.00 90.00
Last column: nearest neighbours and their distance in Å.
Element x y z (fractional)
Sb1 0.0000 0.5000 0.0000  2 O 2.25
Sb2 0.5000 0.0000 0.0000  2 O 2.25
Mo1 0.0000 0.0000 0.5000  4 I 3.19
I1 0.5000 0.5000 0.5000  4 Mo 3.19, 2 O 3.26
O1 0.5000 0.5000 0.0000  4 Sb 2.25



#two
Entry from Alexandria: Sb2MoIO after structural relaxation (PBE+U).

Properties
space-group type: P4/mmm

Lattice parameters (Å, degrees): 5.3401 5.3401 5.4294 90.00 90.00 90.00
Last column: nearest neighbours and their distance in Å.
Element x y z (fractional)
Sb1 0.0000 0.5000 0.0000  2 Mo 2.67
Sb2 0.5000 0.0000 0.0000  2 Mo 2.67
Mo1 0.0000 0.0000 0.0000  4 Sb 2.67, 2 I 2.71
I1 0.0000 0.0000 0.5000  2 Mo 2.71
O1 0.5000 0.5000 0.5000  4 I 3.78, 8 Sb 3.81



Stability ranking, top entry: #one; the second entry is 770 meV per atom less favorable.



#one
Entry from Alexandria: SnMoI2O after structural relaxation (PBE+U).

Properties
space-group type: P4/mmm

Lattice parameters (Å, degrees): 6.0285 6.0285 3.9323 90.00 90.00 90.00
Last column: nearest neighbours and their distance in Å.
Element x y z (fractional)
Sn1 0.0000 0.0000 0.0000  8 I 3.60, 2 Sn 3.93
Mo1 0.5000 0.5000 0.5000  2 O 1.97
I1 0.0000 0.5000 0.5000  2 Mo 3.01
I2 0.5000 0.0000 0.5000  2 Mo 3.01
O1 0.5000 0.5000 0.0000  2 Mo 1.97



#two
Entry from Alexandria: SnMoI2O after structural relaxation (PBE+U).

Properties
space-group type: P4/mmm

Lattice parameters (Å, degrees): 6.1656 6.1656 4.0572 90.00 90.00 90.00
Last column: nearest neighbours and their distance in Å.
Element x y z (fractional)
Sn1 0.0000 0.0000 0.0000  2 O 2.03
Mo1 0.5000 0.5000 0.5000  8 I 3.69, 2 Mo 4.06
I1 0.0000 0.5000 0.0000  2 Sn 3.08
I2 0.5000 0.0000 0.0000  2 Sn 3.08
O1 0.0000 0.0000 0.5000  2 Sn 2.03



Stability ranking, top entry: #one; the second entry is 314 meV per atom less favorable.



#one
Entry from Alexandria: SrMoIO2 after structural relaxation (PBE+U).

Properties
space-group type: P4/mmm

Lattice parameters (Å, degrees): 4.5525 4.5525 6.6579 90.00 90.00 90.00
Last column: nearest neighbours and their distance in Å.
Element x y z (fractional)
Sr1 0.0000 0.0000 0.0000  4 O 2.28
Mo1 0.5000 0.5000 0.5000  4 I 3.22
I1 0.0000 0.0000 0.5000  4 Mo 3.22, 2 Sr 3.33
O1 0.0000 0.5000 0.0000  2 Sr 2.28
O2 0.5000 0.0000 0.0000  2 Sr 2.28



#two
Entry from Alexandria: SrMoIO2 after structural relaxation (PBE+U).

Properties
space-group type: P4/mmm

Lattice parameters (Å, degrees): 4.2973 4.2973 5.6954 90.00 90.00 90.00
Last column: nearest neighbours and their distance in Å.
Element x y z (fractional)
Sr1 0.0000 0.0000 0.0000  4 I 3.04
Mo1 0.5000 0.5000 0.5000  4 O 2.15
I1 0.5000 0.5000 0.0000  2 Mo 2.85, 4 Sr 3.04
O1 0.0000 0.5000 0.5000  2 Mo 2.15
O2 0.5000 0.0000 0.5000  2 Mo 2.15



Stability ranking, top entry: #two; the second entry is 899 meV per atom less favorable.